Here is crystalline La3Sm4ErS8 at its relaxed geometry from the Alexandria database. Energies are from PBE-GGA.

```
La3Sm4ErS8
1.0
4.053 2.340 6.600
-4.053 2.340 6.600
0.000 -4.680 6.600
La Sm Er S
3 4 1 8
Direct
0.000 0.500 0.500
0.500 0.000 0.500
0.500 0.500 0.000
0.000 0.000 0.500
0.000 0.500 0.000
0.500 0.000 0.000
0.500 0.500 0.500
0.000 0.000 0.000
0.238 0.756 0.756
0.244 0.244 0.762
0.244 0.762 0.244
0.246 0.246 0.246
0.754 0.754 0.754
0.756 0.238 0.756
0.756 0.756 0.238
0.762 0.244 0.244
```

calculated total energy: -104.20 eV/cell

=====

Here is crystalline Er2Pu3ThSe6 at its relaxed geometry from the Alexandria database. Energies are from PBE-GGA.

```
Er2Pu3ThSe6
1.0
8.961 -2.049 0.000
8.961 2.049 0.000
-1.779 0.000 8.060
Er Pu Th Se
2 3 1 6
Direct
0.167 0.167 0.337
0.833 0.833 0.663
0.164 0.164 0.837
0.500 0.500 0.500
0.836 0.836 0.163
0.500 0.500 0.000
0.004 0.004 0.259
0.330 0.330 0.906
0.331 0.331 0.419
0.669 0.669 0.581
0.670 0.670 0.094
0.996 0.996 0.741
```

calculated total energy: -99.73 eV/cell

=====

Here is crystalline AcAl2Sb at its relaxed geometry from the Alexandria database. Energies are from PBE-GGA.

```
AcAl2Sb
1.0
3.843 0.000 0.000
0.000 3.843 0.000
0.000 0.000 7.074
Ac Al Sb
1 2 1
Direct
0.000 0.000 0.000
0.500 0.500 0.307
0.500 0.500 0.693
0.000 0.000 0.500
```

calculated total energy: -16.51 eV/cell

=====

Here is crystalline LiAg3W at its relaxed geometry from the Alexandria database. Energies are from PBE-GGA.

```
LiAg3W
1.0
5.133 0.000 0.000
0.000 5.133 0.000
0.000 0.000 5.133
Li Ag W
1 3 1
Direct
0.000 0.000 0.000
0.000 0.500 0.500
0.500 0.000 0.500
0.500 0.500 0.000
0.500 0.500 0.500
```

formation energy: 1.38 eV/atom
calculated total energy: -16.51 eV/cell
energy relative to the lowest polymorph listed for this composition: 299.0 meV/atom

=====

Number 1: total magnetic moment 0.00 μB per atom. Number 2: total magnetic moment 0.50 μB per atom. Number 3: total magnetic moment 0.00 μB per atom. Number 4: total magnetic moment 0.00 μB per atom.